An optimized crystal structure of BRuNO2, computed with GGA-PBE.

Lattice parameters (Å, degrees): 3.8878 3.8878 3.7651 90.00 90.00 90.00
Positions (direct):
Ru  0.0000  0.0000  0.0000
B  0.5000  0.5000  0.5000
O  0.0000  0.5000  0.0000
O  0.5000  0.0000  0.0000
N  0.0000  0.0000  0.5000

raw total energy: -5.925 eV per atom
calculated volume: 11.38 Å³/atom
SG: P4/mmm